The following is a PBE calculation of a geometry-optimized TlOsRh2 structure, from the Alexandria database.

```
data_TlOsRh2
_cell_length_a 2.869
_cell_length_b 3.812
_cell_length_c 5.914
_cell_angle_alpha 90.00
_cell_angle_beta 90.00
_cell_angle_gamma 90.00
_symmetry_space_group_name_H-M 'P m m m'
_symmetry_Int_Tables_number 47
_symmetry_space_group_name_Hall '-P 2 2'
loop_
_atom_site_label
_atom_site_fract_x
_atom_site_fract_y
_atom_site_fract_z
Tl1 0.000 0.000 0.000
Os1 0.000 0.000 0.500
Rh1 0.500 0.500 0.279
```

Calculated formation energy (meV/atom): 324